Record 1
The following is a DFT calculation (PBE) of crystalline RbIn2CuPb at its relaxed geometry.

a = 5.256 Å, b = 5.256 Å, c = 5.612 Å
α = 90.00°, β = 90.00°, γ = 90.00°
Positions (direct):
Rb (0.000, 0.000, 0.000)
In (0.000, 0.500, 0.500)
In (0.500, 0.000, 0.500)
Cu (0.500, 0.500, 0.500)
Pb (0.500, 0.500, 0.000)

Properties
For the formation energy, the calculation gives 0.109 eV/atom. Its space-group type is No. 123. The volume is 31.009 Å³ per atom. Its theoretical density is 6.3 g/cm³.

---

Record 2
The following is a DFT calculation (PBE) of crystalline Na3Sr2Au4 at its relaxed geometry.

a = 8.968 Å, b = 8.968 Å, c = 8.794 Å
α = 90.00°, β = 90.00°, γ = 137.88°
Positions (direct):
Na (0.000, 0.000, 0.000)
Na (0.043, 0.457, 0.250)
Na (0.457, 0.043, 0.750)
Na (0.500, 0.500, 0.500)
Na (0.543, 0.957, 0.250)
Na (0.957, 0.543, 0.750)
Sr (0.113, 0.887, 0.414)
Sr (0.387, 0.613, 0.914)
Sr (0.613, 0.387, 0.086)
Sr (0.887, 0.113, 0.586)
Au (0.186, 0.814, 0.051)
Au (0.214, 0.286, 0.250)
Au (0.286, 0.214, 0.750)
Au (0.314, 0.686, 0.551)
Au (0.686, 0.314, 0.449)
Au (0.714, 0.786, 0.250)
Au (0.786, 0.714, 0.750)
Au (0.814, 0.186, 0.949)

Properties
For the formation energy, the calculation gives -0.432 eV/atom. Its space-group type is No. 64. The volume is 26.355 Å³ per atom. Its theoretical density is 7.2 g/cm³.

---

Record 3
The following is a DFT calculation (PBE) of crystalline Y6Tl5Bi at its relaxed geometry.

a = 9.108 Å, b = 9.108 Å, c = 9.108 Å
α = 147.49°, β = 123.91°, γ = 66.35°
Positions (direct):
Y (0.084, 0.334, 0.750)
Y (0.248, 0.000, 0.248)
Y (0.417, 0.666, 0.750)
Y (0.583, 0.334, 0.250)
Y (0.752, 0.000, 0.752)
Y (0.916, 0.666, 0.250)
Tl (0.000, 0.500, 0.500)
Tl (0.166, 0.166, 0.000)
Tl (0.327, 0.827, 0.500)
Tl (0.673, 0.173, 0.500)
Tl (0.834, 0.834, 0.000)
Bi (0.500, 0.500, 0.000)

Properties
For the formation energy, the calculation gives -0.405 eV/atom. Its space-group type is No. 71. The volume is 27.747 Å³ per atom. Its theoretical density is 8.8 g/cm³.

---

Record 4
The following is a DFT calculation (PBE) of crystalline Cs2BaSbBr6 at its relaxed geometry.

a = 8.636 Å, b = 8.636 Å, c = 8.636 Å
α = 118.66°, β = 118.66°, γ = 92.34°
Positions (direct):
Cs (0.250, 0.750, 0.500)
Cs (0.750, 0.250, 0.500)
Ba (0.000, 0.000, 0.000)
Sb (0.500, 0.500, 0.000)
Br (0.253, 0.253, 0.507)
Br (0.253, 0.747, 0.000)
Br (0.265, 0.265, 0.000)
Br (0.735, 0.735, 0.000)
Br (0.747, 0.253, 0.000)
Br (0.747, 0.747, 0.493)

Properties
Its space-group type is No. 139. For the energy relative to the elements, uncorrected, the calculation gives -1.373 eV/atom. The volume is 46.421 Å³ per atom. Its theoretical density is 3.6 g/cm³.

---

Record 5
The following is a DFT calculation (PBE) of crystalline Ba3NaSr7 at its relaxed geometry.

a = 14.675 Å, b = 14.675 Å, c = 20.667 Å
α = 90.00°, β = 90.00°, γ = 163.64°
Positions (direct):
Ba (0.077, 0.923, 0.532)
Ba (0.077, 0.923, 0.968)
Ba (0.246, 0.754, 0.250)
Ba (0.754, 0.246, 0.750)
Ba (0.923, 0.077, 0.032)
Ba (0.923, 0.077, 0.468)
Na (0.110, 0.890, 0.250)
Na (0.890, 0.110, 0.750)
Sr (0.293, 0.707, 0.072)
Sr (0.293, 0.707, 0.428)
Sr (0.336, 0.664, 0.610)
Sr (0.336, 0.664, 0.890)
Sr (0.393, 0.607, 0.250)
Sr (0.478, 0.522, 0.648)
Sr (0.478, 0.522, 0.852)
Sr (0.522, 0.478, 0.148)
Sr (0.522, 0.478, 0.352)
Sr (0.607, 0.393, 0.750)
Sr (0.664, 0.336, 0.110)
Sr (0.664, 0.336, 0.390)
Sr (0.707, 0.293, 0.572)
Sr (0.707, 0.293, 0.928)

Properties
For the formation energy, the calculation gives 0.085 eV/atom. Its space-group type is No. 63. The volume is 56.978 Å³ per atom. Its theoretical density is 2.8 g/cm³.

---

Record 6
The following is a DFT calculation (PBE) of crystalline Th4CdPt15 at its relaxed geometry.

a = 4.213 Å, b = 4.213 Å, c = 20.875 Å
α = 90.00°, β = 90.00°, γ = 90.00°
Positions (direct):
Th (0.000, 0.000, 0.103)
Th (0.000, 0.000, 0.309)
Th (0.000, 0.000, 0.691)
Th (0.000, 0.000, 0.897)
Cd (0.000, 0.000, 0.500)
Pt (0.000, 0.500, 0.000)
Pt (0.000, 0.500, 0.203)
Pt (0.000, 0.500, 0.406)
Pt (0.000, 0.500, 0.594)
Pt (0.000, 0.500, 0.797)
Pt (0.500, 0.000, 0.000)
Pt (0.500, 0.000, 0.203)
Pt (0.500, 0.000, 0.406)
Pt (0.500, 0.000, 0.594)
Pt (0.500, 0.000, 0.797)
Pt (0.500, 0.500, 0.101)
Pt (0.500, 0.500, 0.304)
Pt (0.500, 0.500, 0.500)
Pt (0.500, 0.500, 0.696)
Pt (0.500, 0.500, 0.899)

Properties
For the formation energy, the calculation gives -0.938 eV/atom. Its space-group type is No. 123. The volume is 18.522 Å³ per atom. Its theoretical density is 17.8 g/cm³.

---

Record 7
The following is a DFT calculation (PBE) of crystalline RbZrTa2 at its relaxed geometry.

a = 10.849 Å, b = 10.849 Å, c = 10.849 Å
α = 152.48°, β = 152.48°, γ = 39.31°
Positions (direct):
Rb (0.375, 0.625, 0.750)
Rb (0.625, 0.375, 0.250)
Zr (0.125, 0.875, 0.250)
Zr (0.875, 0.125, 0.750)
Ta (0.000, 0.000, 0.000)
Ta (0.000, 0.000, 0.500)
Ta (0.000, 0.500, 0.000)
Ta (0.500, 0.000, 0.500)

Properties
The calculation puts the energy above the most stable polymorph in this dataset at 201 meV/atom. For the formation energy, the calculation gives 1.904 eV/atom. Its space-group type is No. 141. The volume is 34.015 Å³ per atom. Its theoretical density is 6.6 g/cm³.

---

Record 8
The following is a DFT calculation (PBE) of crystalline RbY3Zn at its relaxed geometry.

a = 5.686 Å, b = 5.686 Å, c = 5.686 Å
α = 90.00°, β = 90.00°, γ = 90.00°
Positions (direct):
Rb (0.000, 0.000, 0.000)
Y (0.000, 0.500, 0.500)
Y (0.500, 0.000, 0.500)
Y (0.500, 0.500, 0.000)
Zn (0.500, 0.500, 0.500)

Properties
The calculation puts the energy above the most stable polymorph in this dataset at 0 meV/atom. For the formation energy, the calculation gives 0.353 eV/atom. Its space-group type is No. 221. The volume is 36.775 Å³ per atom. Its theoretical density is 3.8 g/cm³.